DFT (PBE) results for an optimized crystal structure of PuAlGa.

Computed properties:
The calculation puts the density of states at the Fermi level at 11.0 states/eV/f.u. As for the formation energy: -185 meV per atom.

Unit cell a=4.8897 b=8.4470 c=6.0685 alpha=90.00 beta=90.00 gamma=90.00
With the nearest neighbours (Å) after each atom.
Space group Cmcm (No. 63)
Inequivalent atoms, fractional coordinates:
Pu  0.0000  0.1662  0.2500  5 Ga 2.82-3.03
Al  0.0000  0.5000  0.0000  2 Al 3.03, 6 Ga 3.19-3.21, 6 Pu 3.20
Ga  0.0000  0.1676  0.7500  5 Pu 2.82-3.03



DFT (PBE) results for an optimized crystal structure of MgAlGaPb.

Computed properties:
The calculation puts the density of states at the Fermi level at 3.4 states/eV/f.u. As for the formation energy: 115 meV per atom.

Unit cell a=7.1471 b=7.1471 c=7.1471 alpha=90.00 beta=90.00 gamma=90.00
With the nearest neighbours (Å) after each atom.
Space group F-43m (No. 216)
Inequivalent atoms, fractional coordinates:
Mg  0.0000  0.0000  0.0000  4 Pb 3.09, 4 Ga 3.09
Al  0.0000  0.0000  0.5000  4 Ga 3.09, 4 Pb 3.09
Ga  0.2500  0.2500  0.7500  4 Mg 3.09, 4 Al 3.09
Pb  0.2500  0.2500  0.2500  4 Al 3.09, 4 Mg 3.09



DFT (PBE) results for an optimized crystal structure of NaReCl2.

Computed properties:
The calculation puts the density of states at the Fermi level at 3.7 states/eV/f.u. The value obtained for the distance to the lowest polymorph of the same formula is 0.412 eV per atom.

Unit cell a=3.6962 b=3.6962 c=25.8198 alpha=90.00 beta=90.00 gamma=120.00
With the nearest neighbours (Å) after each atom.
Space group R-3m (No. 166, hexagonal axes)
Inequivalent atoms, fractional coordinates:
Na  0.0000  0.0000  0.0000  2 Cl 3.10
Re  0.0000  0.0000  0.5000  6 Cl 2.45
Cl  0.0000  0.0000  0.1202  3 Re 2.45



DFT (PBE) results for an optimized crystal structure of Ce5BiPb2C.

Computed properties:
The calculation puts the density of states at the Fermi level at 24.6 states/eV/f.u. As for the formation energy: -421 meV per atom.

Unit cell a=4.8489 b=4.8489 c=11.6609 alpha=90.00 beta=90.00 gamma=90.00
With the nearest neighbours (Å) after each atom.
Space group P4/mmm (No. 123)
Inequivalent atoms, fractional coordinates:
Ce  0.0000  0.0000  0.0000  2 Pb 3.39, 4 Bi 3.43
Ce  0.0000  0.5000  0.5000  2 C 2.42
Ce  0.5000  0.5000  0.2757  1 C 2.62
Bi  0.5000  0.5000  0.0000  6 Ce 3.22-3.43
Pb  0.0000  0.0000  0.2904  9 Ce 3.39-3.44
C  0.5000  0.5000  0.5000  6 Ce 2.42-2.62



DFT (PBE) results for an optimized crystal structure of Sm3Zn4Ga4.

Computed properties:
The calculation puts the density of states at the Fermi level at 7.0 states/eV/f.u. As for the formation energy: -506 meV per atom.

Unit cell a=3.9912 b=4.3476 c=13.3154 alpha=99.39 beta=98.61 gamma=90.03
With the nearest neighbours (Å) after each atom.
Space group P-1 (No. 2)
Inequivalent atoms, fractional coordinates:
Sm  0.0000  0.0000  0.0000  4 Zn 3.18, 8 Ga 3.21-3.22
Sm  0.1478  0.6485  0.2965  6 Ga 3.15-3.27, 8 Zn 3.25-3.48
Zn  0.2532  0.2532  0.5056  4 Ga 2.56-2.62
Zn  0.4034  0.9049  0.8093  3 Ga 2.48
Ga  0.3081  0.8093  0.6181  5 Zn 2.48-2.62
Ga  0.4476  0.4508  0.9018  2 Zn 2.48, 1 Ga 2.55



DFT (PBE) results for an optimized crystal structure of PmScInAg.

Computed properties:
The calculation puts the density of states at the Fermi level at 3.8 states/eV/f.u. As for the formation energy: -350 meV per atom.

Unit cell a=7.3337 b=7.3337 c=7.3337 alpha=90.00 beta=90.00 gamma=90.00
With the nearest neighbours (Å) after each atom.
Space group F-43m (No. 216)
Inequivalent atoms, fractional coordinates:
Pm  0.0000  0.0000  0.0000  4 In 3.18, 4 Ag 3.18
Sc  0.0000  0.0000  0.5000  4 Ag 3.18, 4 In 3.18
In  0.2500  0.2500  0.7500  4 Pm 3.18, 4 Sc 3.18
Ag  0.2500  0.2500  0.2500  4 Pm 3.18, 4 Sc 3.18



DFT (PBE) results for an optimized crystal structure of PuU2MoC4.

Computed properties:
The calculation puts the density of states at the Fermi level at 11.8 states/eV/f.u. As for the formation energy: 77 meV per atom.

Unit cell a=3.5609 b=11.6587 c=11.4688 alpha=90.00 beta=90.00 gamma=90.00
With the nearest neighbours (Å) after each atom.
Space group Cmcm (No. 63)
Inequivalent atoms, fractional coordinates:
Pu  0.0000  0.1242  0.2500  6 C 2.60-2.70
U  0.0000  0.3730  0.0447  6 C 2.30-2.57
Mo  0.0000  0.1360  0.7500  4 C 2.07-2.11
C  0.0000  0.0000  0.0000  4 U 2.37
C  0.0000  0.2585  0.6188  1 Mo 2.07, 1 U 2.30
C  0.0000  0.4614  0.2500  2 Mo 2.11



DFT (PBE) results for an optimized crystal structure of CsRb2ZnI6.

Computed properties:
The calculation puts the density of states at the Fermi level at 24.0 states/eV/f.u. Its uncorrected energy is -2.214 eV/atom.

Unit cell a=12.8591 b=12.8591 c=12.8591 alpha=90.00 beta=90.00 gamma=90.00
With the nearest neighbours (Å) after each atom.
Space group Fm-3m (No. 225)
Inequivalent atoms, fractional coordinates:
Cs  0.0000  0.0000  0.0000  6 I 3.60
Rb  0.2500  0.2500  0.2500  12 I 4.56
Zn  0.0000  0.0000  0.5000  6 I 2.83
I  0.0000  0.0000  0.2799  1 Zn 2.83



DFT (PBE) results for an optimized crystal structure of Y2Ge2S.

Computed properties:
The calculation puts the density of states at the Fermi level at 1.6 states/eV/f.u. Its uncorrected energy is -6.316 eV/atom.

Unit cell a=7.4445 b=7.4445 c=4.2746 alpha=90.00 beta=90.00 gamma=90.00
With the nearest neighbours (Å) after each atom.
Space group P4/mbm (No. 127)
Inequivalent atoms, fractional coordinates:
Y  0.1837  0.3163  0.0000  2 S 2.72, 2 Ge 3.02
Ge  0.1141  0.6141  0.5000  1 Ge 2.40
S  0.0000  0.0000  0.0000  4 Y 2.72



DFT (PBE) results for an optimized crystal structure of TbZnCdPb.

Computed properties:
The calculation puts the density of states at the Fermi level at 3.7 states/eV/f.u. As for the formation energy: -108 meV per atom.

Unit cell a=7.3168 b=7.3168 c=7.3168 alpha=90.00 beta=90.00 gamma=90.00
With the nearest neighbours (Å) after each atom.
Space group F-43m (No. 216)
Inequivalent atoms, fractional coordinates:
Tb  0.0000  0.0000  0.0000  4 Pb 3.17, 4 Zn 3.17
Zn  0.2500  0.2500  0.7500  4 Cd 3.17, 4 Tb 3.17
Cd  0.0000  0.0000  0.5000  4 Pb 3.17, 4 Zn 3.17
Pb  0.2500  0.2500  0.2500  4 Cd 3.17, 4 Tb 3.17



DFT (PBE) results for an optimized crystal structure of Cs2PaSe4.

Computed properties:
The calculation puts the density of states at the Fermi level at 6.0 states/eV/f.u. The value obtained for the distance to the lowest polymorph of the same formula is 0.000 eV per atom.

Unit cell a=5.6009 b=5.6009 c=18.2317 alpha=90.00 beta=90.00 gamma=90.00
With the nearest neighbours (Å) after each atom.
Space group I4/mmm (No. 139)
Inequivalent atoms, fractional coordinates:
Cs  0.0000  0.0000  0.1463  9 Se 3.76-3.96
Pa  0.0000  0.0000  0.5000  6 Se 2.69-2.80
Se  0.0000  0.0000  0.3526  1 Pa 2.69
Se  0.0000  0.5000  0.0000  2 Pa 2.80



DFT (PBE) results for an optimized crystal structure of K2MnReAs.

Computed properties:
The calculation puts the density of states at the Fermi level at 5.3 states/eV/f.u. As for the formation energy: 1325 meV per atom.

Unit cell a=6.4131 b=6.4131 c=4.6731 alpha=90.00 beta=90.00 gamma=90.00
With the nearest neighbours (Å) after each atom.
Space group P4/mmm (No. 123)
Inequivalent atoms, fractional coordinates:
K  0.0000  0.5000  0.0000  2 As 3.21
Mn  0.0000  0.0000  0.5000  2 As 2.34
Re  0.5000  0.5000  0.5000  8 K 3.97
As  0.0000  0.0000  0.0000  2 Mn 2.34